# 1
Below is a geometry-optimized SrLu3Tc structure, with properties calculated at the GGA-PBE level.

Summary:
symmetry: No. 221

Cell and atoms, written as POSCAR:
```
SrLu3Tc
1.0
5.399 0.000 0.000
0.000 5.399 0.000
0.000 0.000 5.399
Sr Tc Lu
1 1 3
direct
0.500 0.500 0.500
0.000 0.000 0.000
0.500 0.000 0.000
0.000 0.000 0.500
0.000 0.500 0.000
```



# 2
Below is a geometry-optimized SrLuTl2 structure, with properties calculated at the GGA-PBE level.

Summary:
symmetry: No. 123

Cell and atoms, written as POSCAR:
```
SrLuTl2
1.0
-1.909 -0.148 3.375
1.688 -3.400 0.805
5.963 3.800 3.540
Sr Tl Lu
1 2 1
direct
0.500 0.500 0.500
0.000 0.000 0.222
0.000 0.000 0.778
0.500 0.500 0.000
```



# 3
Below is a geometry-optimized SrLuTl4 structure, with properties calculated at the GGA-PBE level.

Summary:
symmetry: No. 216

Cell and atoms, written as POSCAR:
```
SrLuTl4
1.0
-3.429 2.523 4.748
-6.235 -1.259 0.448
-2.171 -3.729 4.696
Lu Tl Sr
1 4 1
direct
0.000 0.000 0.000
0.625 0.625 0.625
0.625 0.124 0.625
0.625 0.625 0.124
0.124 0.625 0.625
0.250 0.250 0.250
```



# 4
Below is a geometry-optimized SrTmLu2 structure, with properties calculated at the GGA-PBE level.

Summary:
symmetry: No. 123

Cell and atoms, written as POSCAR:
```
SrTmLu2
1.0
3.616 0.000 0.000
0.000 3.616 0.000
0.000 0.000 10.430
Lu Sr Tm
2 1 1
direct
0.000 0.000 0.783
0.000 0.000 0.217
0.500 0.500 0.500
0.500 0.500 0.000
```



# 5
Below is a geometry-optimized SrTmLu structure, with properties calculated at the GGA-PBE level.

Summary:
symmetry: No. 107

Cell and atoms, written as POSCAR:
```
SrTmLu
1.0
-1.419 0.491 -3.369
-3.206 -1.421 1.143
-0.138 7.669 3.195
Sr Tm Lu
1 1 1
direct
0.000 0.000 0.001
0.318 0.318 0.636
0.682 0.682 0.363
```



# 6
Below is a geometry-optimized SrTm2Lu structure, with properties calculated at the GGA-PBE level.

Summary:
symmetry: No. 123

Cell and atoms, written as POSCAR:
```
SrTm2Lu
1.0
3.940 0.000 0.000
0.000 3.940 0.000
0.000 0.000 9.177
Lu Sr Tm
1 1 2
direct
0.500 0.500 0.000
0.500 0.500 0.500
0.000 0.000 0.801
0.000 0.000 0.199
```



Listing energy of formation for the structures above in their given order: 29; -345; -47; 155; 172; 161 meV/atom.
Listing magnetic moment for the structures above in their given order: 0.00; 0.00; 0.00; 0.00; 0.00; 0.12 μB/cell.